No. 1
Ba4ZrSi | PBE | optimized geometry

Structure (POSCAR):
```
Ba4ZrSi
1.0
0.0000 4.9835 4.9835
4.9835 0.0000 4.9835
4.9835 4.9835 0.0000
Ba Si Zr
4 1 1
Direct
0.3757 0.3757 0.3757
0.3757 0.8729 0.3757
0.3757 0.3757 0.8729
0.8729 0.3757 0.3757
0.7500 0.7500 0.7500
0.0000 0.0000 0.0000
```

Computed properties:
The density of states at the Fermi level comes out at 8.53 states/eV/f.u. As for the final energy: -2.715 eV/atom. Its crystal system is cubic. As for the space-group type: F-43m.

***

No. 2
BaZrSi2 | PBE | optimized geometry

Structure (POSCAR):
```
BaZrSi2
1.0
5.2748 -0.0012 0.0000
0.9431 5.1898 0.0000
-3.1089 -2.5943 3.3804
Ba Si Zr
1 2 1
Direct
0.7500 0.2500 0.5000
0.5000 0.5000 0.0000
0.0000 0.0000 0.0000
0.2500 0.7500 0.5000
```

Computed properties:
The density of states at the Fermi level comes out at 3.11 states/eV/f.u. Its crystal system is tetragonal. Its energy above the most stable polymorph in this dataset is 531 meV/atom. As for the space-group type: I4/mmm.